Here is a geometry-optimized SrY2Sc structure from the Alexandria database. Energies are from PBEsol.

Cell and atoms, written as extended XYZ:
```
4
Lattice="1.778 1.026 11.680 -1.778 1.026 11.680 0.000 -2.053 11.680" Properties=species:S:1:pos:R:3 pbc="T T T"
Sr 0.000 0.000 0.000
Y 0.000 0.000 8.431
Y 0.000 0.000 26.608
Sc 0.000 0.000 17.520
```

Calculated values
Excess energy over the best structure of this formula in the dataset (kJ per mole of atoms): 0.0
ΔH_f (0 K) (meV per atom): 168
Mass density (kg/m3): 4030
DOS at the Fermi energy (states/eV/atom): 1.351

Here is a geometry-optimized Zr3AgC structure from the Alexandria database. Energies are from PBEsol.

Cell and atoms, written as extended XYZ:
```
5
Lattice="5.009 0.000 0.000 0.000 5.009 0.000 0.000 0.000 5.009" Properties=species:S:1:pos:R:3 pbc="T T T"
Zr 0.000 0.000 2.504
Zr 0.000 2.504 0.000
Zr 2.504 0.000 0.000
Ag 0.000 0.000 0.000
C 2.504 2.504 2.504
```

Calculated values
Excess energy over the best structure of this formula in the dataset (kJ per mole of atoms): 243.3
ΔH_f (0 K) (meV per atom): 2144
Mass density (kg/m3): 5201
DOS at the Fermi energy (states/eV/atom): 1.202

Here is a geometry-optimized TlZnCo2 structure from the Alexandria database. Energies are from PBEsol.

Cell and atoms, written as extended XYZ:
```
4
Lattice="0.000 2.988 2.988 2.988 0.000 2.988 2.988 2.988 0.000" Properties=species:S:1:pos:R:3 pbc="T T T"
Tl 0.000 0.000 0.000
Zn 2.988 2.988 2.988
Co 1.494 1.494 1.494
Co 4.483 4.483 4.483
```

Calculated values
Excess energy over the best structure of this formula in the dataset (kJ per mole of atoms): 0.0
ΔH_f (0 K) (meV per atom): 303
Mass density (kg/m3): 12060
DOS at the Fermi energy (states/eV/atom): 0.845

Here is a geometry-optimized GaHg3 structure from the Alexandria database. Energies are from PBEsol.

Cell and atoms, written as extended XYZ:
```
4
Lattice="-2.280 2.280 4.262 2.280 -2.280 4.262 2.280 2.280 -4.262" Properties=species:S:1:pos:R:3 pbc="T T T"
Ga 0.000 0.000 0.000
Hg 2.280 0.000 2.131
Hg 0.000 0.000 4.262
Hg 0.000 2.280 2.131
```

Calculated values
ΔH_f (0 K) (meV per atom): 37
Mass density (kg/m3): 12578
DOS at the Fermi energy (states/eV/atom): 0.268

Here is a geometry-optimized K2ZrRe structure from the Alexandria database. Energies are from PBEsol.

Cell and atoms, written as extended XYZ:
```
4
Lattice="1.486 -2.443 0.000 1.486 2.443 0.000 0.000 0.000 12.755" Properties=species:S:1:pos:R:3 pbc="T T T"
K 0.000 0.000 2.887
K 0.000 0.000 9.868
Zr 1.486 0.000 6.377
Re 1.486 0.000 0.000
```

Calculated values
Excess energy over the best structure of this formula in the dataset (kJ per mole of atoms): 9.2
ΔH_f (0 K) (meV per atom): 1268
Mass density (kg/m3): 6376
DOS at the Fermi energy (states/eV/atom): 0.766

Here is a geometry-optimized NbPt3Cl structure from the Alexandria database. Energies are from PBEsol.

Cell and atoms, written as extended XYZ:
```
5
Lattice="4.460 0.000 0.000 0.000 4.460 0.000 0.000 0.000 4.460" Properties=species:S:1:pos:R:3 pbc="T T T"
Nb 0.000 0.000 0.000
Pt 0.000 2.230 2.230
Pt 2.230 0.000 2.230
Pt 2.230 2.230 0.000
Cl 2.230 2.230 2.230
```

Calculated values
Raw formation energy (eV/atom): 1.0645
Mass density (kg/m3): 13355
DOS at the Fermi energy (states/eV/atom): 1.035

Here is a geometry-optimized LiNdTi2O6 structure from the Alexandria database. Energies are from PBEsol.

Cell and atoms, written as extended XYZ:
```
20
Lattice="5.329 0.000 0.000 0.000 5.329 0.000 0.000 0.000 7.838" Properties=species:S:1:pos:R:3 pbc="T T T"
Li 1.332 3.997 0.000
Li 3.997 1.332 0.000
Nd 1.332 3.997 3.919
Nd 3.997 1.332 3.919
Ti 1.332 1.332 1.856
Ti 1.332 1.332 5.982
Ti 3.997 3.997 1.856
Ti 3.997 3.997 5.982
O 0.295 2.960 2.033
O 0.295 5.034 5.805
O 1.332 1.332 0.000
O 1.332 1.332 3.919
O 2.370 2.960 5.805
O 2.370 5.034 2.033
O 2.960 0.295 5.805
O 2.960 2.370 2.033
O 3.997 3.997 0.000
O 3.997 3.997 3.919
O 5.034 0.295 2.033
O 5.034 2.370 5.805
```

Calculated values
Raw formation energy (eV/atom): -3.0318
Mass density (kg/m3): 5116
DOS at the Fermi energy (states/eV/atom): 0.000

Here is a geometry-optimized K2PtPb2 structure from the Alexandria database. Energies are from PBEsol.

Cell and atoms, written as extended XYZ:
```
10
Lattice="7.175 0.000 0.000 0.000 7.175 0.000 0.000 0.000 5.855" Properties=species:S:1:pos:R:3 pbc="T T T"
K 1.297 2.290 0.000
K 2.290 5.877 0.000
K 4.885 1.297 0.000
K 5.877 4.885 0.000
Pt 0.000 0.000 2.927
Pt 3.587 3.587 2.927
Pb 1.053 4.640 2.927
Pb 2.535 1.053 2.927
Pb 4.640 6.122 2.927
Pb 6.122 2.535 2.927
```

Calculated values
ΔH_f (0 K) (meV per atom): -106
Mass density (kg/m3): 7578
DOS at the Fermi energy (states/eV/atom): 0.489

Here is a geometry-optimized Ni2SbP structure from the Alexandria database. Energies are from PBEsol.

Cell and atoms, written as extended XYZ:
```
4
Lattice="2.973 0.000 0.000 0.000 3.432 0.000 0.000 0.000 5.657" Properties=species:S:1:pos:R:3 pbc="T T T"
Ni 0.000 0.000 0.000
Ni 1.487 1.716 1.563
Sb 1.487 1.716 4.387
P 0.000 0.000 2.143
```

Calculated values
Excess energy over the best structure of this formula in the dataset (kJ per mole of atoms): 0.0
Raw formation energy (eV/atom): -0.1428
Mass density (kg/m3): 7770
DOS at the Fermi energy (states/eV/atom): 0.588

Here is a geometry-optimized ZrCrAgS4 structure from the Alexandria database. Energies are from PBEsol.

Cell and atoms, written as extended XYZ:
```
7
Lattice="6.019 0.000 0.000 0.000 3.547 0.000 -0.138 0.000 6.343" Properties=species:S:1:pos:R:3 pbc="T T T"
Zr 0.000 0.000 0.000
Cr 3.009 1.773 0.000
Ag 2.940 1.773 3.171
S 1.063 1.773 1.458
S 1.977 0.000 4.959
S 3.904 0.000 1.383
S 4.818 1.773 4.884
```

Calculated values
Excess energy over the best structure of this formula in the dataset (kJ per mole of atoms): 1.6
Raw formation energy (eV/atom): -0.9175
Mass density (kg/m3): 4653
DOS at the Fermi energy (states/eV/atom): 0.047

Here is a geometry-optimized CaCdHg2 structure from the Alexandria database. Energies are from PBEsol.

Cell and atoms, written as extended XYZ:
```
4
Lattice="3.391 0.000 0.000 0.000 4.950 0.000 -0.067 0.000 5.787" Properties=species:S:1:pos:R:3 pbc="T T T"
Ca 0.000 0.000 0.000
Cd 1.699 2.475 1.546
Hg 1.630 2.475 4.488
Hg 1.658 0.000 2.918
```

Calculated values
ΔH_f (0 K) (meV per atom): -331
Mass density (kg/m3): 9465
DOS at the Fermi energy (states/eV/atom): 0.450

Here is a geometry-optimized KCu2Ni structure from the Alexandria database. Energies are from PBEsol.

Cell and atoms, written as extended XYZ:
```
4
Lattice="0.000 3.167 3.167 3.167 0.000 3.167 3.167 3.167 0.000" Properties=species:S:1:pos:R:3 pbc="T T T"
K 0.000 0.000 0.000
Cu 1.583 1.583 1.583
Cu 4.750 4.750 4.750
Ni 3.167 3.167 3.167
```

Calculated values
ΔH_f (0 K) (meV per atom): 937
Mass density (kg/m3): 5879
DOS at the Fermi energy (states/eV/atom): 0.536